{"formula": "Pr2ThBr", "functional": "GGA-PBE", "state": "optimized geometry", "formation_energy_uncorrected_mev_per_atom": -574, "relative_energy_mev_per_atom": 0, "spacegroup": "R-3m, No. 166", "lattice": [[-1.0276, 1.3875, 3.3511], [2.2868, -0.3684, 2.9742], [4.9601, 9.4182, -0.2581]], "species": ["Pr", "Pr", "Br", "Th"], "frac_coords": [[0.7435, 0.7435, 0.7694], [0.2565, 0.2565, 0.2306], [0.0000, 0.0000, 0.0000], [0.5000, 0.5000, 0.5000]]}

{"formula": "Ta2TcRu", "functional": "GGA-PBE", "state": "optimized geometry", "dft_energy_ev_per_cell": -43.43, "spacegroup": "R-3m, No. 166", "lattice": [[-6.2814, 3.8319, 4.3860], [-7.8959, 1.8839, 2.7355], [-6.6345, 0.9837, 5.3285]], "species": ["Ru", "Ta", "Ta", "Tc"], "frac_coords": [[0.7500, 0.7500, 0.7500], [0.0005, 0.0005, 0.0005], [0.4995, 0.4995, 0.4995], [0.2500, 0.2500, 0.2500]]}

{"formula": "MnFe2Co", "functional": "GGA-PBE", "state": "optimized geometry", "dft_energy_ev_per_cell": -32.90, "spacegroup": "P4mm, No. 99", "lattice": [[2.4531, 0.0000, 0.0000], [0.0000, 2.4531, 0.0000], [0.0000, 0.0000, 7.1124]], "species": ["Co", "Fe", "Fe", "Mn"], "frac_coords": [[0.5000, 0.5000, 0.7463], [0.0000, 0.0000, 0.9976], [0.5000, 0.5000, 0.2524], [0.0000, 0.0000, 0.5037]]}

{"formula": "La4OsBr2O", "functional": "GGA-PBE", "state": "optimized geometry", "formation_energy_uncorrected_mev_per_atom": -1411, "spacegroup": "P2/m, No. 10", "lattice": [[4.0230, 0.0000, 0.0000], [0.0000, 6.8367, 0.0507], [0.0000, -2.4694, 7.7869]], "species": ["La", "La", "La", "La", "Os", "Br", "Br", "O"], "frac_coords": [[0.5000, 0.2136, 0.1865], [0.5000, 0.7864, 0.8135], [0.0000, 0.2475, 0.8049], [0.0000, 0.7525, 0.1951], [0.5000, 0.5000, 0.0000], [0.5000, 0.0000, 0.5000], [0.0000, 0.5000, 0.5000], [0.0000, 0.0000, 0.0000]]}

{"formula": "Os2RuAu", "functional": "GGA-PBE", "state": "optimized geometry", "relative_energy_mev_per_atom": 353, "spacegroup": "Cmm2, No. 35", "lattice": [[2.7235, 0.0048, 0.0000], [-1.3291, 2.3772, 0.0000], [0.0000, 0.0000, 9.6265]], "species": ["Au", "Os", "Os", "Ru"], "frac_coords": [[0.5000, 0.5000, 0.7477], [0.0000, 0.0000, 0.0155], [0.5000, 0.5000, 0.2511], [0.0000, 0.0000, 0.4856]]}

{"formula": "Ag3NF", "functional": "GGA-PBE", "state": "optimized geometry", "formation_energy_uncorrected_mev_per_atom": -253, "relative_energy_mev_per_atom": 0, "spacegroup": "P1, No. 1", "lattice": [[-3.0836, -3.2850, -1.3351], [1.0510, -1.8525, 2.1273], [-11.8860, 1.3275, 8.9711]], "species": ["Ag", "Ag", "Ag", "Ag", "Ag", "Ag", "N", "N", "F", "F"], "frac_coords": [[0.1759, 0.5153, 0.2660], [0.1942, 0.7797, 0.7885], [0.3501, 0.3564, 0.6194], [0.6321, 0.9936, 0.3135], [0.0202, 0.9387, 0.4350], [0.7380, 0.3013, 0.7410], [0.1182, 0.6741, 0.0005], [0.2416, 0.6447, 0.0541], [0.8989, 0.3792, 0.5666], [0.4715, 0.9162, 0.4879]]}

{"formula": "Dy2NiI", "functional": "GGA-PBE", "state": "optimized geometry", "formation_energy_uncorrected_mev_per_atom": -664, "relative_energy_mev_per_atom": 8, "spacegroup": "R3m, No. 160", "lattice": [[-3.4203, -1.1160, 1.7827], [-0.0777, -3.2740, 2.3231], [0.6562, 2.9227, 7.6108]], "species": ["Dy", "Dy", "Ni", "I"], "frac_coords": [[0.0595, 0.0595, 0.8216], [0.2745, 0.2745, 0.1765], [0.6669, 0.6669, 0.9994], [0.4992, 0.4992, 0.5024]]}

{"formula": "CeGe2IrRh2", "functional": "GGA-PBE", "state": "optimized geometry", "dft_energy_ev_per_cell": -39.91, "spacegroup": "P4/mmm, No. 123", "lattice": [[-3.9198, -0.4174, 2.5295], [0.2281, -4.6597, -0.4154], [2.9715, -0.2612, 4.5616]], "species": ["Ce", "Ge", "Ge", "Ir", "Rh", "Rh"], "frac_coords": [[0.0000, 0.0000, 0.5000], [0.5000, 0.0000, 0.0000], [0.0000, 0.5000, 0.0000], [0.0000, 0.0000, 0.0000], [0.5000, 0.5000, 0.7443], [0.5000, 0.5000, 0.2557]]}

{"formula": "Ba3Pa4O12", "functional": "GGA-PBE", "state": "optimized geometry", "formation_energy_uncorrected_mev_per_atom": -3360, "spacegroup": "Im-3, No. 204", "lattice": [[7.2329, 0.0000, -2.5572], [-3.6165, 6.2639, -2.5572], [0.0000, 0.0000, 7.6717]], "species": ["Ba", "Ba", "Ba", "Pa", "Pa", "Pa", "Pa", "O", "O", "O", "O", "O", "O", "O", "O", "O", "O", "O", "O"], "frac_coords": [[0.5000, 0.5000, 0.0000], [0.0000, 0.5000, 0.5000], [0.5000, 0.0000, 0.5000], [0.5000, 0.5000, 0.5000], [0.5000, 0.0000, 0.0000], [0.0000, 0.0000, 0.5000], [0.0000, 0.5000, 0.0000], [0.2362, 0.7162, 0.9524], [0.7638, 0.2838, 0.0476], [0.2362, 0.2838, 0.5200], [0.2838, 0.0476, 0.7638], [0.9524, 0.2362, 0.7162], [0.4800, 0.7638, 0.7162], [0.7162, 0.4800, 0.7638], [0.0476, 0.7638, 0.2838], [0.7638, 0.7162, 0.4800], [0.7162, 0.9524, 0.2362], [0.5200, 0.2362, 0.2838], [0.2838, 0.5200, 0.2362]]}

{"formula": "POsRh2", "functional": "GGA-PBE", "state": "optimized geometry", "dft_energy_ev_per_cell": -31.27, "spacegroup": "P4/mmm, No. 123", "lattice": [[2.7845, 0.0000, 0.0000], [0.0000, 2.7845, 0.0000], [0.0000, 0.0000, 7.0479]], "species": ["P", "Os", "Rh", "Rh"], "frac_coords": [[0.5000, 0.5000, 0.5000], [0.5000, 0.5000, 0.0000], [0.0000, 0.0000, 0.7269], [0.0000, 0.0000, 0.2731]]}

{"formula": "La8SmIn2", "functional": "GGA-PBE", "state": "optimized geometry", "relative_energy_mev_per_atom": 0, "spacegroup": "Immm, No. 71", "lattice": [[5.0835, -0.0006, -1.5449], [-1.1254, 8.3291, -3.7059], [0.0876, -0.8567, 9.4384]], "species": ["La", "La", "La", "La", "La", "La", "La", "La", "Sm", "In", "In"], "frac_coords": [[0.6596, 0.8730, 0.3183], [0.3405, 0.5550, 0.6817], [0.1500, 0.1505, 0.3009], [0.0000, 0.3301, 0.9999], [0.8500, 0.8495, 0.6991], [0.6595, 0.4450, 0.3183], [0.3404, 0.1270, 0.6817], [0.0000, 0.6699, 0.0001], [0.5000, 0.0000, 0.0000], [0.1989, 0.6985, 0.3971], [0.8011, 0.3015, 0.6029]]}